A plane-wave DFT calculation with PBE-GGA was carried out for an optimized crystal structure of RbCoPb.

abc: 4.935 4.935 4.935
angles: 60.00 60.00 60.00
Fractional coordinates of all 3 atoms:
Rb (0.000, 0.000, 0.000)
Co (0.750, 0.750, 0.750)
Pb (0.500, 0.500, 0.500)

Results
Total magnetization = 0.32 μB/atom
Offset from the most stable computed form = 0.0 meV/atom

A plane-wave DFT calculation with PBE-GGA was carried out for an optimized crystal structure of Nd2HoNi2B2N3.

abc: 10.374 10.374 10.374
angles: 160.12 160.12 28.26
Fractional coordinates of all 10 atoms:
Nd (0.124, 0.124, 0.000)
Nd (0.876, 0.876, 0.000)
Ho (0.500, 0.500, 0.000)
Ni (0.250, 0.750, 0.500)
Ni (0.750, 0.250, 0.500)
B (0.310, 0.310, 0.000)
B (0.690, 0.690, 0.000)
N (0.000, 0.000, 0.000)
N (0.382, 0.382, 0.000)
N (0.618, 0.618, 0.000)

Results
Total magnetization = 0.00 μB/atom
Raw total energy = -0.5486 Ry/atom

A plane-wave DFT calculation with PBE-GGA was carried out for an optimized crystal structure of Na3GdP2.

abc: 8.564 8.564 8.564
angles: 132.78 69.21 132.51
Fractional coordinates of all 12 atoms:
Na (0.201, 0.687, 0.889)
Na (0.250, 0.250, 0.000)
Na (0.299, 0.187, 0.486)
Na (0.701, 0.813, 0.514)
Na (0.750, 0.750, 0.000)
Na (0.799, 0.313, 0.111)
Gd (0.250, 0.750, 0.500)
Gd (0.750, 0.250, 0.500)
P (0.108, 0.282, 0.390)
P (0.392, 0.782, 0.175)
P (0.608, 0.218, 0.825)
P (0.892, 0.718, 0.610)

Results
Total magnetization = 0.00 μB/atom
Raw total energy = -0.2823 Ry/atom